The following is a DFT calculation (PBE-GGA) of crystalline ScAlZnI2 at its relaxed geometry. Values from VASP.

The total magnetic moment is 1.34 μB/cell. As for the uncorrected formation energy: 0.465 eV/atom. The value obtained for the density of states at the Fermi level is 1.0926 states/eV per atom. As for the space group: P4/mmm (123).

Quantum ESPRESSO input file:
```
&SYSTEM
  ibrav = 0, nat = 5, ntyp = 4
/
ATOMIC_SPECIES
Sc 44.96 Sc.upf
I 126.90 I.upf
Zn 65.41 Zn.upf
Al 26.98 Al.upf
CELL_PARAMETERS angstrom
-0.8149 -2.9412 -4.7455
0.9548 -4.5191 2.6369
-5.4904 -0.4479 1.2204
ATOMIC_POSITIONS angstrom
Sc 0.4774 -2.2596 1.3185
I -0.4075 -1.4706 -2.3727
I -2.7452 -0.2239 0.6102
Zn 0.0000 0.0000 0.0000
Al -2.6753 -3.9541 -0.4441
```